Computed, not measured: an optimized crystal structure of RbTl2Cd6 at the PBE-GGA level of DFT.

Cell lengths 4.7579, 4.7579, 11.2128 Å; angles 90.00, 90.00, 90.00 degrees
With the nearest neighbours (Å) after each atom.
Space group P4/mmm (No. 123)
Asymmetric unit:
Rb (0.0000, 0.0000, 0.0000) [1 per cell]  8 Tl 3.76
Tl (0.5000, 0.5000, 0.1504) [2 per cell]  4 Cd 3.06, 1 Tl 3.37
Cd (0.0000, 0.0000, 0.5000) [1 per cell]  12 Cd 3.11-3.36
Cd (0.0000, 0.5000, 0.3214) [4 per cell]  2 Tl 3.06, 8 Cd 3.11-3.36
Cd (0.5000, 0.5000, 0.5000) [1 per cell]  12 Cd 3.11-3.36

Values from the calculation:
Raw total energy (eV/atom): -1.267
Energy of formation from the pure elements (meV per atom): -23